Record 1
NaAcCdTe3: optimized geometry, PBE.

```
NaAcCdTe3
1.0
4.5212 0.0000 0.0000
0.0000 9.2622 0.0301
0.0000 -2.4325 10.1313
Te Na Cd Ac
6 2 2 2
Direct
0.2500 0.5632 0.8150
0.7500 0.9214 0.1227
0.2500 0.0786 0.8773
0.7500 0.4368 0.1850
0.2500 0.7712 0.4973
0.7500 0.2288 0.5027
0.2500 0.6525 0.1230
0.7500 0.3475 0.8770
0.2500 0.1036 0.6140
0.7500 0.8964 0.3860
0.7500 0.7974 0.7741
0.2500 0.2026 0.2259
```

V = 35.38 Å³/atom
calculated total energy = -3.611 eV/atom
space-group type = P2_1/m

Record 2
NaAcZnCd: optimized geometry, PBE.

```
NaAcZnCd
1.0
5.4376 0.0000 0.0000
2.7188 4.7091 0.0000
2.7188 1.5697 4.4398
Na Ac Cd Zn
1 1 1 1
Direct
0.7500 0.7500 0.7500
0.2500 0.2500 0.2500
0.0000 0.0000 0.0000
0.5000 0.5000 0.5000
```

V = 28.42 Å³/atom
calculated total energy = -2.028 eV/atom
formation energy = -0.124 eV per atom
space-group type = F-43m

Record 3
Ac2NbCd: optimized geometry, PBE.

```
Ac2NbCd
1.0
3.4876 0.0000 0.0000
1.7438 3.0204 0.0000
1.7438 1.0068 12.0216
Ac Cd Nb
2 1 1
Direct
0.9155 0.9155 0.2534
0.0845 0.0845 0.7466
0.5000 0.5000 0.5000
0.0000 0.0000 0.0000
```

V = 31.66 Å³/atom
calculated total energy = -4.067 eV/atom
formation energy = 0.734 eV per atom
space-group type = R-3m

Record 4
AcNbCd: optimized geometry, PBE.

```
AcNbCd
1.0
5.4199 0.0000 0.0000
-2.7100 2.7101 0.0000
0.0000 0.0000 11.5228
Nb Ac Cd
2 2 2
Direct
0.6944 0.3888 0.3953
0.6944 0.3888 0.6047
0.1945 0.3889 0.2015
0.1945 0.3889 0.7985
0.1944 0.3887 0.5000
0.6945 0.3891 0.0000
```

V = 28.21 Å³/atom
calculated total energy = -4.832 eV/atom
formation energy = 0.199 eV per atom
space-group type = P4/mmm

Record 5
AcNbCd2O6: optimized geometry, PBE.

```
AcNbCd2O6
1.0
-3.4641 0.5636 4.6649
0.9095 -3.3022 4.7274
2.2694 2.6486 5.0177
Nb Ac O Cd
1 1 6 2
Direct
0.3132 0.3132 0.0604
0.8037 0.8037 0.5889
0.3950 0.6807 0.7778
0.1465 0.3949 0.7778
0.5644 0.2291 0.2398
0.6808 0.1464 0.7779
0.2290 0.9668 0.2398
0.9667 0.5644 0.2398
0.5291 0.5291 0.4127
0.0332 0.0332 0.9004
```

V = 15.04 Å³/atom
calculated total energy = -6.728 eV/atom
space-group type = R3

Record 6
Ac3Nd2Cd3: optimized geometry, PBE.

```
Ac3Nd2Cd3
1.0
-2.9266 -0.7533 -2.6171
-2.2716 -3.8858 3.6588
-3.9860 10.8035 4.4009
Cd Nd Ac
3 2 3
Direct
0.1242 0.1242 0.2484
0.8758 0.8758 0.7516
0.0000 0.5000 0.0000
0.7350 0.2350 0.4699
0.2650 0.7650 0.5301
0.6232 0.6232 0.2464
0.3768 0.3768 0.7536
0.5000 0.0000 0.0000
```

V = 34.24 Å³/atom
calculated total energy = -3.300 eV/atom
formation energy = -0.224 eV per atom
space-group type = Immm